DFT (PBE with a Hubbard U) results for ScUVO6 after structural relaxation.

The structure in POSCAR format:
```
ScUVO6
1.0
5.436 0.000 0.000
-2.718 4.708 0.000
0.000 0.000 8.788
Sc U V O
2 2 2 12
Direct
0.333 0.667 0.250
0.667 0.333 0.750
0.333 0.667 0.750
0.667 0.333 0.250
0.000 0.000 0.000
0.000 0.000 0.500
0.004 0.332 0.629
0.004 0.673 0.871
0.327 0.332 0.871
0.327 0.996 0.629
0.332 0.004 0.129
0.332 0.327 0.371
0.668 0.673 0.629
0.668 0.996 0.871
0.673 0.004 0.371
0.673 0.668 0.129
0.996 0.327 0.129
0.996 0.668 0.371
```

Results
- E_tot (eV per atom) = -8.90
- total magnetization (μB per cell) = 4.00
- crystal system = trigonal